(1)
An optimized crystal structure of Pm3ScPa3N8. Source: Alexandria via LeMat-Bulk, functional GGA-PBE.

Properties
final energy: -9.219 eV/atom
total magnetization: 0.0 μB/f.u.

a b c (Å): 6.958 6.958 7.023
angles (deg): 119.69 90.00 120.00
Sites, in units of the cell vectors:
Pm  0.000  0.000  0.000
Pm  0.000  0.500  0.000
Pm  0.500  0.500  0.000
Sc  0.000  0.000  0.500
Pa  0.500  0.000  0.500
Pa  0.500  0.500  0.500
Pa  0.000  0.500  0.500
N  0.258  0.515  0.273
N  0.742  0.485  0.727
N  0.770  0.540  0.298
N  0.230  0.460  0.702
N  0.770  0.028  0.298
N  0.230  0.972  0.702
N  0.258  0.028  0.298
N  0.742  0.972  0.702

---

(2)
An optimized crystal structure of Sc2TiC. Source: Alexandria via LeMat-Bulk, functional GGA-PBE.

Properties
final energy: -7.484 eV/atom
total magnetization: 1.8 μB/f.u.

a b c (Å): 8.541 8.541 8.541
angles (deg): 21.77 21.77 21.77
Sites, in units of the cell vectors:
Sc  0.883  0.883  0.883
Sc  0.117  0.117  0.117
C  0.500  0.500  0.500
Ti  0.000  0.000  0.000

---

(3)
An optimized crystal structure of InCu4Pd7. Source: Alexandria via LeMat-Bulk, functional GGA-PBE.

Properties
distance to the lowest polymorph of the same formula: 0.272 eV/atom
total magnetization: 0.0 μB/f.u.

a b c (Å): 4.857 8.306 5.619
angles (deg): 81.08 64.39 73.00
Sites, in units of the cell vectors:
In  0.000  0.000  0.000
Cu  0.565  0.234  0.635
Cu  0.435  0.766  0.365
Cu  0.721  0.683  0.874
Cu  0.279  0.317  0.126
Pd  0.791  0.918  0.500
Pd  0.209  0.082  0.500
Pd  0.043  0.620  0.294
Pd  0.957  0.380  0.706
Pd  0.341  0.558  0.759
Pd  0.500  0.000  0.000
Pd  0.659  0.442  0.241

---

(4)
An optimized crystal structure of Mg2ReBSb. Source: Alexandria via LeMat-Bulk, functional GGA-PBE.

Properties
final energy: -3.885 eV/atom
total magnetization: 0.0 μB/f.u.

a b c (Å): 5.122 4.999 5.122
angles (deg): 90.00 90.00 90.00
Sites, in units of the cell vectors:
Re  0.000  0.000  0.000
Mg  0.000  0.000  0.500
Mg  0.500  0.000  0.000
B  0.500  0.500  0.500
Sb  0.000  0.500  0.000

---

(5)
An optimized crystal structure of La3NdHo. Source: Alexandria via LeMat-Bulk, functional GGA-PBE.

Properties
distance to the lowest polymorph of the same formula: 0.000 eV/atom
total magnetization: 0.0 μB/f.u.

a b c (Å): 6.060 5.777 12.096
angles (deg): 90.00 90.00 121.64
Sites, in units of the cell vectors:
La  0.052  0.105  0.750
La  0.948  0.895  0.250
La  0.354  0.708  0.599
La  0.646  0.292  0.401
La  0.646  0.292  0.099
La  0.354  0.708  0.901
Nd  0.000  0.000  0.500
Nd  0.000  0.000  0.000
Ho  0.296  0.592  0.250
Ho  0.704  0.408  0.750

---

(6)
An optimized crystal structure of Al3RhN. Source: Alexandria via LeMat-Bulk, functional GGA-PBE.

Properties
distance to the lowest polymorph of the same formula: 0.000 eV/atom
total magnetization: 0.0 μB/f.u.

a b c (Å): 3.954 3.954 3.954
angles (deg): 90.00 90.00 90.00
Sites, in units of the cell vectors:
Rh  0.500  0.500  0.500
Al  0.000  0.500  0.000
Al  0.000  0.000  0.500
Al  0.500  0.000  0.000
N  0.000  0.000  0.000

---

(7)
An optimized crystal structure of Ce5SnGe2. Source: Alexandria via LeMat-Bulk, functional GGA-PBE.

Properties
distance to the lowest polymorph of the same formula: 0.105 eV/atom
total magnetization: 3.7 μB/f.u.

a b c (Å): 5.211 5.476 17.079
angles (deg): 90.00 90.00 118.41
Sites, in units of the cell vectors:
Ce  0.911  0.821  0.903
Ce  0.911  0.821  0.597
Ce  0.436  0.872  0.431
Ce  0.436  0.872  0.069
Ce  0.767  0.535  0.250
Ce  0.233  0.465  0.750
Ce  0.564  0.128  0.569
Ce  0.564  0.128  0.931
Ce  0.089  0.179  0.097
Ce  0.089  0.179  0.403
Sn  0.555  0.110  0.750
Sn  0.445  0.890  0.250
Ge  0.766  0.532  0.427
Ge  0.766  0.532  0.073
Ge  0.234  0.468  0.573
Ge  0.234  0.468  0.927

---

(8)
An optimized crystal structure of BPRhC. Source: Alexandria via LeMat-Bulk, functional GGA-PBE.

Properties
distance to the lowest polymorph of the same formula: 0.240 eV/atom
total magnetization: 0.0 μB/f.u.

a b c (Å): 4.810 3.124 7.437
angles (deg): 90.00 123.98 90.00
Sites, in units of the cell vectors:
P  0.083  0.000  0.241
P  0.083  0.500  0.741
C  0.634  0.000  0.133
C  0.634  0.500  0.633
B  0.317  0.000  0.900
B  0.317  0.500  0.400
Rh  0.770  0.000  0.863
Rh  0.770  0.500  0.363

---

(9)
An optimized crystal structure of Y2Tl2Sb. Source: Alexandria via LeMat-Bulk, functional GGA-PBE.

Properties
distance to the lowest polymorph of the same formula: 0.000 eV/atom
total magnetization: 0.0 μB/f.u.

a b c (Å): 7.952 7.952 4.766
angles (deg): 90.00 90.00 90.00
Sites, in units of the cell vectors:
Y  0.337  0.837  0.000
Y  0.837  0.663  0.000
Y  0.663  0.163  0.000
Y  0.163  0.337  0.000
Sb  0.000  0.000  0.000
Sb  0.500  0.500  0.000
Tl  0.143  0.643  0.500
Tl  0.643  0.857  0.500
Tl  0.857  0.357  0.500
Tl  0.357  0.143  0.500

---

(10)
An optimized crystal structure of Ag2SnTe2. Source: Alexandria via LeMat-Bulk, functional GGA-PBE.

Properties
distance to the lowest polymorph of the same formula: 0.335 eV/atom
total magnetization: 0.0 μB/f.u.

a b c (Å): 4.550 4.550 7.326
angles (deg): 71.91 71.91 90.00
Sites, in units of the cell vectors:
Te  0.750  0.250  0.500
Te  0.250  0.750  0.500
Sn  0.000  0.000  0.000
Ag  0.399  0.399  0.201
Ag  0.601  0.601  0.799

---

(11)
An optimized crystal structure of LaCe2AgN. Source: Alexandria via LeMat-Bulk, functional GGA-PBE.

Properties
final energy: -6.164 eV/atom
total magnetization: 1.7 μB/f.u.

a b c (Å): 4.854 4.853 5.160
angles (deg): 90.00 90.00 90.00
Sites, in units of the cell vectors:
La  0.000  0.000  0.500
Ce  0.000  0.500  0.000
Ce  0.500  0.000  0.000
Ag  0.500  0.500  0.501
N  0.000  0.000  0.000

---

(12)
An optimized crystal structure of Cs3SeF8. Source: Alexandria via LeMat-Bulk, functional GGA-PBE.

Properties
final energy: -3.946 eV/atom
total magnetization: 1.1 μB/f.u.

a b c (Å): 7.967 8.849 8.849
angles (deg): 120.00 90.00 90.00
Sites, in units of the cell vectors:
Cs  0.685  0.686  0.843
Cs  0.685  0.157  0.314
Cs  0.685  0.157  0.843
Cs  0.185  0.314  0.157
Cs  0.185  0.843  0.686
Cs  0.185  0.843  0.157
Se  0.161  0.333  0.667
Se  0.661  0.667  0.333
F  0.025  0.133  0.566
F  0.025  0.434  0.867
F  0.025  0.434  0.566
F  0.525  0.867  0.434
F  0.525  0.566  0.133
F  0.525  0.566  0.434
F  0.793  0.460  0.230
F  0.793  0.770  0.540
F  0.793  0.770  0.230
F  0.293  0.540  0.770
F  0.293  0.230  0.460
F  0.293  0.230  0.770
F  0.661  0.333  0.667
F  0.161  0.667  0.333
F  0.942  0.000  0.000
F  0.442  0.000  0.000

---

(13)
An optimized crystal structure of GdAgPdPb. Source: Alexandria via LeMat-Bulk, functional GGA-PBE.

Properties
final energy: -6.923 eV/atom
total magnetization: 7.2 μB/f.u.

a b c (Å): 4.984 4.984 4.984
angles (deg): 60.00 60.00 60.00
Sites, in units of the cell vectors:
Pb  0.500  0.500  0.500
Gd  0.000  0.000  0.000
Pd  0.250  0.250  0.250
Ag  0.750  0.750  0.750

---

(14)
An optimized crystal structure of TbEr5Tm4. Source: Alexandria via LeMat-Bulk, functional GGA-PBE.

Properties
distance to the lowest polymorph of the same formula: 0.262 eV/atom
total magnetization: 0.0 μB/f.u.

a b c (Å): 6.237 7.751 7.751
angles (deg): 80.68 66.27 66.27
Sites, in units of the cell vectors:
Tb  0.223  0.000  0.000
Er  0.807  0.377  0.910
Er  0.184  0.910  0.623
Er  0.717  0.090  0.377
Er  0.094  0.623  0.090
Er  0.680  0.000  0.000
Tm  0.402  0.397  0.703
Tm  0.799  0.703  0.603
Tm  0.104  0.297  0.397
Tm  0.501  0.603  0.297

---

(15)
An optimized crystal structure of PbCF2. Source: Alexandria via LeMat-Bulk, functional GGA-PBE.

Properties
distance to the lowest polymorph of the same formula: 0.098 eV/atom
total magnetization: 2.0 μB/f.u.

a b c (Å): 4.359 4.359 4.359
angles (deg): 60.00 60.00 60.00
Sites, in units of the cell vectors:
Pb  0.500  0.500  0.500
C  0.000  0.000  0.000
F  0.250  0.250  0.250
F  0.750  0.750  0.750

---

(16)
An optimized crystal structure of Mg3Cd3AgRh2. Source: Alexandria via LeMat-Bulk, functional GGA-PBE.

Properties
final energy: -2.991 eV/atom
total magnetization: 0.0 μB/f.u.

a b c (Å): 3.073 7.908 7.908
angles (deg): 120.00 90.00 90.00
Sites, in units of the cell vectors:
Mg  0.000  0.614  0.614
Mg  0.000  0.000  0.386
Mg  0.000  0.386  0.000
Cd  0.500  0.699  0.000
Cd  0.500  0.000  0.699
Cd  0.500  0.301  0.301
Ag  0.000  0.000  0.000
Rh  0.500  0.667  0.333
Rh  0.500  0.333  0.667

---

(17)
An optimized crystal structure of BeNb3Rh. Source: Alexandria via LeMat-Bulk, functional GGA-PBE.

Properties
distance to the lowest polymorph of the same formula: 0.000 eV/atom
total magnetization: 0.0 μB/f.u.

a b c (Å): 4.374 4.374 4.374
angles (deg): 90.00 90.00 90.00
Sites, in units of the cell vectors:
Be  0.000  0.000  0.000
Nb  0.000  0.500  0.000
Nb  0.000  0.000  0.500
Nb  0.500  0.000  0.000
Rh  0.500  0.500  0.500

---

(18)
An optimized crystal structure of BaGe2Pd. Source: Alexandria via LeMat-Bulk, functional GGA-PBE.

Properties
final energy: -4.542 eV/atom
total magnetization: 0.0 μB/f.u.

a b c (Å): 4.920 4.856 4.856
angles (deg): 96.67 90.00 90.00
Sites, in units of the cell vectors:
Ba  0.000  0.012  0.988
Ge  0.500  0.876  0.487
Ge  0.500  0.513  0.124
Pd  0.500  0.380  0.620

---

(19)
An optimized crystal structure of YBeFe2. Source: Alexandria via LeMat-Bulk, functional GGA-PBE.

Properties
final energy: -6.430 eV/atom
total magnetization: 3.0 μB/f.u.

a b c (Å): 3.738 4.068 5.596
angles (deg): 43.15 90.00 90.00
Sites, in units of the cell vectors:
Y  0.500  0.500  0.500
Be  0.000  0.000  0.500
Fe  0.000  0.000  0.000
Fe  0.500  0.500  0.000

---

(20)
An optimized crystal structure of BaNaZn. Source: Alexandria via LeMat-Bulk, functional GGA-PBE.

Properties
distance to the lowest polymorph of the same formula: 0.110 eV/atom
total magnetization: 0.0 μB/f.u.

a b c (Å): 4.442 5.318 5.318
angles (deg): 120.00 90.00 90.00
Sites, in units of the cell vectors:
Na  0.167  0.333  0.667
Zn  0.166  0.000  0.000
Ba  0.667  0.667  0.333

---

(21)
An optimized crystal structure of PrSmZnAg. Source: Alexandria via LeMat-Bulk, functional GGA-PBE.

Properties
distance to the lowest polymorph of the same formula: 0.020 eV/atom
total magnetization: 0.0 μB/f.u.

a b c (Å): 5.261 5.261 5.261
angles (deg): 60.00 60.00 60.00
Sites, in units of the cell vectors:
Pr  0.000  0.000  0.000
Zn  0.250  0.250  0.250
Ag  0.750  0.750  0.750
Sm  0.500  0.500  0.500

---

(22)
An optimized crystal structure of NdGePd4. Source: Alexandria via LeMat-Bulk, functional GGA-PBE.

Properties
distance to the lowest polymorph of the same formula: 0.351 eV/atom
total magnetization: 0.0 μB/f.u.

a b c (Å): 5.343 5.343 8.985
angles (deg): 90.00 90.00 90.00
Sites, in units of the cell vectors:
Nd  0.000  0.000  0.500
Nd  0.500  0.500  0.000
Ge  0.000  0.000  0.000
Ge  0.500  0.500  0.500
Pd  0.262  0.000  0.213
Pd  0.738  0.000  0.213
Pd  0.000  0.738  0.787
Pd  0.000  0.262  0.787
Pd  0.500  0.238  0.713
Pd  0.762  0.500  0.287
Pd  0.238  0.500  0.287
Pd  0.500  0.762  0.713

---

(23)
An optimized crystal structure of Tm2ScTi. Source: Alexandria via LeMat-Bulk, functional GGA-PBE.

Properties
distance to the lowest polymorph of the same formula: 0.239 eV/atom
total magnetization: 1.6 μB/f.u.

a b c (Å): 3.259 3.259 11.419
angles (deg): 81.80 81.80 60.00
Sites, in units of the cell vectors:
Sc  0.500  0.500  0.500
Tm  0.086  0.086  0.741
Tm  0.914  0.914  0.259
Ti  0.000  0.000  0.000

---

(24)
An optimized crystal structure of Ba2MnSb2. Source: Alexandria via LeMat-Bulk, functional GGA-PBE.

Properties
final energy: -4.698 eV/atom
total magnetization: 3.4 μB/f.u.

a b c (Å): 7.926 7.926 5.333
angles (deg): 90.00 90.00 90.00
Sites, in units of the cell vectors:
Sb  0.354  0.854  0.000
Sb  0.854  0.646  0.000
Sb  0.646  0.146  0.000
Sb  0.146  0.354  0.000
Mn  0.000  0.000  0.000
Mn  0.500  0.500  0.000
Ba  0.167  0.667  0.500
Ba  0.667  0.833  0.500
Ba  0.833  0.333  0.500
Ba  0.333  0.167  0.500